No. 1
Computed, not measured: an optimized crystal structure of HoLuRe4 at the PBE-GGA level of DFT.

Lattice parameters (Å, degrees): 7.620 7.620 7.620 90.00 90.00 90.00
Space group F-43m (No. 216)
Unique sites:
1 Ho 0.000 0.000 0.000 (multiplicity 4)
2 Lu 0.250 0.250 0.750 (multiplicity 4)
3 Re 0.125 0.125 0.375 (multiplicity 16)

Computed properties:
The electronic total energy comes out at -241.2 eV for the cell shown. The calculated formation energy comes out at -0.2328 eV per atom. The crystal system is cubic.

No. 2
Computed, not measured: an optimized crystal structure of Ho2LuRe at the PBE-GGA level of DFT.

Lattice parameters (Å, degrees): 3.1949 3.1949 33.5525 90.00 90.00 120.00
Space group R-3m (No. 166, hexagonal axes)
Unique sites:
1 Ho 0.0000 0.0000 0.0801 (multiplicity 6)
2 Lu 0.0000 0.0000 0.5000 (multiplicity 3)
3 Re 0.0000 0.0000 0.0000 (multiplicity 3)

Computed properties:
The electronic total energy comes out at -69.1 eV for the cell shown. The calculated formation energy comes out at 0.7691 eV per atom. The crystal system is trigonal.

No. 3
Computed, not measured: an optimized crystal structure of HoLu2Re at the PBE-GGA level of DFT.

Lattice parameters (Å, degrees): 3.1701 3.1701 33.4207 90.00 90.00 120.00
Space group R-3m (No. 166, hexagonal axes)
Unique sites:
1 Ho 0.0000 0.0000 0.0000 (multiplicity 3)
2 Lu 0.0000 0.0000 0.4200 (multiplicity 6)
3 Re 0.0000 0.0000 0.5000 (multiplicity 3)

Computed properties:
The electronic total energy comes out at -69.4 eV for the cell shown. The calculated formation energy comes out at 0.7297 eV per atom. The crystal system is trigonal.

No. 4
Computed, not measured: an optimized crystal structure of HoLuZnRe at the PBE-GGA level of DFT.

Lattice parameters (Å, degrees): 6.879 6.879 6.879 90.00 90.00 90.00
Space group F-43m (No. 216)
Unique sites:
1 Ho 0.000 0.000 0.000 (multiplicity 4)
2 Lu 0.000 0.000 0.500 (multiplicity 4)
3 Zn 0.250 0.250 0.750 (multiplicity 4)
4 Re 0.250 0.250 0.250 (multiplicity 4)

Computed properties:
The electronic total energy comes out at -92.4 eV for the cell shown. The calculated formation energy comes out at -0.0681 eV per atom. The crystal system is cubic.

No. 5
Computed, not measured: an optimized crystal structure of HoLuRh at the PBE-GGA level of DFT.

Lattice parameters (Å, degrees): 6.716 6.716 6.716 90.00 90.00 90.00
Space group F-43m (No. 216)
Unique sites:
1 Ho 0.000 0.000 0.000 (multiplicity 4)
2 Lu 0.000 0.000 0.500 (multiplicity 4)
3 Rh 0.250 0.250 0.750 (multiplicity 4)

Computed properties:
The electronic total energy comes out at -73.5 eV for the cell shown. The calculated formation energy comes out at -0.6409 eV per atom. The crystal system is cubic. Its relative energy among the computed polymorphs is 0.0 meV/atom.

No. 6
Computed, not measured: an optimized crystal structure of HoLuRh at the PBE-GGA level of DFT.

Lattice parameters (Å, degrees): 3.401 3.401 12.422 90.00 90.00 90.00
Space group I4mm (No. 107)
Unique sites:
1 Ho 0.000 0.000 0.000 (multiplicity 2)
2 Lu 0.000 0.000 0.265 (multiplicity 2)
3 Rh 0.000 0.000 0.636 (multiplicity 2)

Computed properties:
The electronic total energy comes out at -36.6 eV for the cell shown. The calculated formation energy comes out at -0.6114 eV per atom. The crystal system is tetragonal. Its relative energy among the computed polymorphs is 29.5 meV/atom.

No. 7
Computed, not measured: an optimized crystal structure of HoLu2Rh at the PBE-GGA level of DFT.

Lattice parameters (Å, degrees): 3.439 3.439 8.385 90.00 90.00 90.00
Space group P4/mmm (No. 123)
Unique sites:
1 Ho 0.000 0.000 0.000 (multiplicity 1)
2 Lu 0.500 0.500 0.311 (multiplicity 2)
3 Rh 0.000 0.000 0.500 (multiplicity 1)

Computed properties:
The electronic total energy comes out at -22.9 eV for the cell shown. The calculated formation energy comes out at -0.4706 eV per atom. The crystal system is tetragonal. Its relative energy among the computed polymorphs is 0.0 meV/atom.

No. 8
Computed, not measured: an optimized crystal structure of HoLu2Rh at the PBE-GGA level of DFT.

Lattice parameters (Å, degrees): 3.5292 3.5292 31.2259 90.00 90.00 120.00
Space group R-3m (No. 166, hexagonal axes)
Unique sites:
1 Ho 0.0000 0.0000 0.0000 (multiplicity 3)
2 Lu 0.0000 0.0000 0.1097 (multiplicity 6)
3 Rh 0.0000 0.0000 0.5000 (multiplicity 3)

Computed properties:
The electronic total energy comes out at -65.0 eV for the cell shown. The calculated formation energy comes out at -0.1762 eV per atom. The crystal system is trigonal. Its relative energy among the computed polymorphs is 294.5 meV/atom.

No. 9
Computed, not measured: an optimized crystal structure of HoLuRh2 at the PBE-GGA level of DFT.

Lattice parameters (Å, degrees): 4.728 4.728 3.458 90.00 90.00 90.00
Space group P4/mmm (No. 123)
Unique sites:
1 Ho 0.000 0.000 0.000 (multiplicity 1)
2 Lu 0.500 0.500 0.000 (multiplicity 1)
3 Rh 0.000 0.500 0.500 (multiplicity 2)

Computed properties:
The electronic total energy comes out at -27.6 eV for the cell shown. The calculated formation energy comes out at -0.9563 eV per atom. The crystal system is tetragonal.

No. 10
Computed, not measured: an optimized crystal structure of HoLuRh2 at the PBE-GGA level of DFT.

Lattice parameters (Å, degrees): 6.762 6.762 6.762 90.00 90.00 90.00
Space group Fm-3m (No. 225)
Unique sites:
1 Ho 0.000 0.000 0.000 (multiplicity 4)
2 Lu 0.000 0.000 0.500 (multiplicity 4)
3 Rh 0.250 0.250 0.250 (multiplicity 8)

Computed properties:
The electronic total energy comes out at -110.5 eV for the cell shown. The calculated formation energy comes out at -0.9560 eV per atom. The crystal system is cubic.

No. 11
Computed, not measured: an optimized crystal structure of HoLuRuRh at the PBE-GGA level of DFT.

Lattice parameters (Å, degrees): 6.734 6.734 6.734 90.00 90.00 90.00
Space group F-43m (No. 216)
Unique sites:
1 Ho 0.000 0.000 0.000 (multiplicity 4)
2 Lu 0.000 0.000 0.500 (multiplicity 4)
3 Ru 0.250 0.250 0.250 (multiplicity 4)
4 Rh 0.250 0.250 0.750 (multiplicity 4)

Computed properties:
The electronic total energy comes out at -114.4 eV for the cell shown. The calculated formation energy comes out at -0.7178 eV per atom. The crystal system is cubic.

No. 12
Computed, not measured: an optimized crystal structure of HoLuTcRh at the PBE-GGA level of DFT.

Lattice parameters (Å, degrees): 6.759 6.759 6.759 90.00 90.00 90.00
Space group F-43m (No. 216)
Unique sites:
1 Ho 0.000 0.000 0.000 (multiplicity 4)
2 Lu 0.000 0.000 0.500 (multiplicity 4)
3 Tc 0.250 0.250 0.250 (multiplicity 4)
4 Rh 0.250 0.250 0.750 (multiplicity 4)

Computed properties:
The electronic total energy comes out at -113.7 eV for the cell shown. The calculated formation energy comes out at -0.4022 eV per atom. The crystal system is cubic.

No. 13
Computed, not measured: an optimized crystal structure of HoLuTlRh at the PBE-GGA level of DFT.

Lattice parameters (Å, degrees): 7.143 7.143 7.143 90.00 90.00 90.00
Space group F-43m (No. 216)
Unique sites:
1 Ho 0.000 0.000 0.000 (multiplicity 4)
2 Lu 0.000 0.000 0.500 (multiplicity 4)
3 Tl 0.250 0.250 0.250 (multiplicity 4)
4 Rh 0.250 0.250 0.750 (multiplicity 4)

Computed properties:
The electronic total energy comes out at -83.6 eV for the cell shown. The calculated formation energy comes out at -0.5200 eV per atom. The crystal system is cubic.

No. 14
Computed, not measured: an optimized crystal structure of HoLuZnRh at the PBE-GGA level of DFT.

Lattice parameters (Å, degrees): 6.886 6.886 6.886 90.00 90.00 90.00
Space group F-43m (No. 216)
Unique sites:
1 Ho 0.000 0.000 0.000 (multiplicity 4)
2 Lu 0.000 0.000 0.500 (multiplicity 4)
3 Zn 0.250 0.250 0.250 (multiplicity 4)
4 Rh 0.250 0.250 0.750 (multiplicity 4)

Computed properties:
The electronic total energy comes out at -81.2 eV for the cell shown. The calculated formation energy comes out at -0.6440 eV per atom. The crystal system is cubic.

No. 15
Computed, not measured: an optimized crystal structure of HoLuRu4 at the PBE-GGA level of DFT.

Lattice parameters (Å, degrees): 7.499 7.499 7.499 90.00 90.00 90.00
Space group F-43m (No. 216)
Unique sites:
1 Ho 0.000 0.000 0.000 (multiplicity 4)
2 Lu 0.250 0.250 0.250 (multiplicity 4)
3 Ru 0.125 0.125 0.625 (multiplicity 16)

Computed properties:
The electronic total energy comes out at -193.0 eV for the cell shown. The calculated formation energy comes out at -0.3411 eV per atom. The crystal system is cubic.

No. 16
Computed, not measured: an optimized crystal structure of HoLu3Ru at the PBE-GGA level of DFT.

Lattice parameters (Å, degrees): 5.270 5.270 5.270 90.00 90.00 90.00
Space group Pm-3m (No. 221)
Unique sites:
1 Ho 0.000 0.000 0.000 (multiplicity 1)
2 Lu 0.000 0.500 0.500 (multiplicity 3)
3 Ru 0.500 0.500 0.500 (multiplicity 1)

Computed properties:
The electronic total energy comes out at -27.9 eV for the cell shown. The calculated formation energy comes out at -0.1047 eV per atom. The crystal system is cubic.